10
Lattice="-5.575 5.402 1.077 -2.739 -1.390 -7.210 -2.682 -3.090 1.615" Properties=species:S:1:pos:R:3 comment="BaCa2Ni2, optimized geometry, DFT PBE-GGA" relative_energy_kj_per_mol_fu=0.0 formation_energy_ev_per_atom=0.0357 final_energy_ev_per_cell=-34.6 magmom_total_mub_per_fu=0.00 sg=P4/mbm dos_ef_per_ev_atom=0.202 pbc="T T T"
Ba 0.000 0.000 0.000
Ca -3.689 0.104 0.062
Ba -4.157 2.006 -3.067
Ca -6.997 2.540 -0.771
Ni -1.670 0.026 -2.726
Ca -7.307 0.819 -4.580
Ca -3.999 -1.618 -3.748
Ni -4.644 0.886 -6.021
Ni -3.670 3.127 -0.112
Ni -6.644 3.987 -3.408